# 1
# PBE LaPm2Sm2Y4, optimized geometry
data_LaPm2Sm2Y4
_chemical_formula_sum 'La1 Pm2 Sm2 Y4'
_cell_length_a 3.656
_cell_length_b 9.649
_cell_length_c 9.703
_cell_angle_alpha 115.21
_cell_angle_beta 90.00
_cell_angle_gamma 100.92
_space_group_name_H-M_alt 'P 1'
_space_group_IT_number 1
loop_
_space_group_symop_operation_xyz
'x,y,z'
loop_
_atom_site_label
_atom_site_fract_x
_atom_site_fract_y
_atom_site_fract_z
La1 0.000 0.000 0.000
Pm1 0.333 0.665 0.999
Pm2 0.667 0.335 0.001
Sm1 0.852 0.705 0.335
Sm2 0.148 0.295 0.665
Y1 0.814 0.628 0.664
Y2 0.186 0.372 0.336
Y3 0.520 0.039 0.336
Y4 0.480 0.961 0.664
# - Symmetry: C2/m, No. 12



# 2
# PBE Li4MgAu7, optimized geometry
data_Li4MgAu7
_chemical_formula_sum 'Li4 Mg1 Au7'
_cell_length_a 5.012
_cell_length_b 8.742
_cell_length_c 5.904
_cell_angle_alpha 79.88
_cell_angle_beta 64.89
_cell_angle_gamma 73.34
_space_group_name_H-M_alt 'P 1'
_space_group_IT_number 1
loop_
_space_group_symop_operation_xyz
'x,y,z'
loop_
_atom_site_label
_atom_site_fract_x
_atom_site_fract_y
_atom_site_fract_z
Li1 0.589 0.225 0.597
Li2 0.411 0.775 0.403
Li3 0.757 0.659 0.826
Li4 0.243 0.341 0.174
Mg1 0.000 0.000 0.000
Au1 0.785 0.911 0.519
Au2 0.215 0.089 0.481
Au3 0.070 0.677 0.184
Au4 0.930 0.323 0.816
Au5 0.364 0.526 0.747
Au6 0.500 0.000 0.000
Au7 0.636 0.474 0.253
# - Distance to the lowest polymorph of the same formula: 0.0554 eV/atom
# - Symmetry: C2/m, No. 12



| no. | formation enthalpy at 0 K (eV per atom) | total magnetization (μB per formula unit) |
| --- | --- | --- |
| 1 | -0.0021 | 0.000 |
| 2 | -0.3656 | 0.000 |